(1)
A relaxed TbNdCo2Si4 crystal, computed with PBE-GGA.

a = 4.0108 Å, b = 8.4113 Å, c = 8.4113 Å
α = 28.08°, β = 90.00°, γ = 90.00°
Last column: nearest neighbours and their distance in Å.
Positions (direct):
Tb (0.0000, 0.0000, 0.0000)  10 Si 3.04-3.19, 4 Co 3.09
Nd (0.5000, 0.2151, 0.2151)  10 Si 3.05-3.20, 4 Co 3.11
Co (0.0000, 0.7893, 0.7893)  5 Si 2.27-2.34
Co (0.5000, 0.4281, 0.4281)  5 Si 2.22-2.32
Si (0.0000, 0.3596, 0.3596)  4 Co 2.30-2.34
Si (0.0000, 0.6503, 0.6503)  1 Co 2.27, 2 Si 2.45
Si (0.5000, 0.5640, 0.5640)  1 Co 2.22, 2 Si 2.45
Si (0.5000, 0.8602, 0.8602)  4 Co 2.32

Computed properties:
Space group = No. 38
E_tot = -0.473 Ry per atom
Magnetization = 0.0 μB/cell
V = 133.6 Å³ per cell

(2)
A relaxed K2PdF6 crystal, computed with PBE-GGA.

a = 5.5073 Å, b = 5.5073 Å, c = 8.8746 Å
α = 90.00°, β = 90.00°, γ = 120.00°
Last column: nearest neighbours and their distance in Å.
Positions (direct):
K (0.0000, 0.0000, 0.0000)  12 F 2.63-2.78
K (0.0000, 0.0000, 0.5000)  12 F 2.63-2.78
K (0.3333, 0.6667, 0.2377)  12 F 2.71-2.75
K (0.6667, 0.3333, 0.7377)  12 F 2.71-2.75
Pd (0.3333, 0.6667, 0.8575)  6 F 1.93
Pd (0.6667, 0.3333, 0.3575)  6 F 1.93
F (0.0031, 0.5016, 0.9835)  1 Pd 1.93
F (0.1628, 0.3256, 0.7397)  1 Pd 1.93
F (0.1628, 0.8372, 0.7397)  1 Pd 1.93
F (0.3256, 0.1628, 0.2397)  1 Pd 1.93
F (0.4984, 0.5016, 0.9835)  1 Pd 1.93
F (0.4984, 0.9969, 0.9835)  1 Pd 1.93
F (0.5016, 0.0031, 0.4835)  1 Pd 1.93
F (0.5016, 0.4984, 0.4835)  1 Pd 1.93
F (0.6744, 0.8372, 0.7397)  1 Pd 1.93
F (0.8372, 0.1628, 0.2397)  1 Pd 1.93
F (0.8372, 0.6744, 0.2397)  1 Pd 1.93
F (0.9969, 0.4984, 0.4835)  1 Pd 1.93

Computed properties:
Space group = No. 186
E_tot = -0.301 Ry per atom
V = 233.1 Å³ per cell

(3)
A relaxed SrIn6Ag6 crystal, computed with PBE-GGA.

a = 7.5871 Å, b = 7.5871 Å, c = 7.5871 Å
α = 134.85°, β = 99.02°, γ = 97.93°
Last column: nearest neighbours and their distance in Å.
Positions (direct):
Sr (0.0000, 0.0000, 0.0000)  8 In 3.43-3.50, 12 Ag 3.68-3.79
In (0.1955, 0.6955, 0.5000)  6 Ag 2.91-2.97
In (0.3478, 0.0000, 0.3478)  1 In 3.00, 6 Ag 3.04-3.14
In (0.3496, 0.3496, 0.0000)  3 In 3.00-3.29, 6 Ag 3.03-3.07
In (0.6504, 0.6504, 0.0000)  3 In 3.00-3.29, 6 Ag 3.03-3.07
In (0.6522, 0.0000, 0.6522)  1 In 3.00, 6 Ag 3.04-3.14
In (0.8045, 0.3045, 0.5000)  6 Ag 2.91-2.97
Ag (0.0000, 0.0000, 0.5000)  4 Ag 2.89-2.91, 6 In 2.91-3.04
Ag (0.0000, 0.5000, 0.0000)  4 Ag 2.89-2.91, 6 In 2.91-3.04
Ag (0.2279, 0.5000, 0.7279)  4 Ag 2.89, 6 In 2.97-3.14
Ag (0.5000, 0.0000, 0.0000)  4 Ag 2.89-2.91, 6 In 2.91-3.04
Ag (0.5000, 0.5000, 0.5000)  4 Ag 2.89-2.91, 6 In 2.91-3.04
Ag (0.7721, 0.5000, 0.2721)  4 Ag 2.89, 6 In 2.97-3.14

Computed properties:
Space group = No. 71
E_tot = -0.211 Ry per atom
V = 285.9 Å³ per cell

(4)
A relaxed RbSiAu crystal, computed with PBE-GGA.

a = 5.0648 Å, b = 5.0648 Å, c = 5.0648 Å
α = 60.00°, β = 60.00°, γ = 60.00°
Last column: nearest neighbours and their distance in Å.
Positions (direct):
Rb (0.0000, 0.0000, 0.0000)  4 Au 3.10
Si (0.5000, 0.5000, 0.5000)  4 Au 3.10
Au (0.2500, 0.2500, 0.2500)  4 Rb 3.10, 4 Si 3.10

Computed properties:
Space group = No. 216
E_tot = -0.191 Ry per atom
V = 91.9 Å³ per cell

(5)
A relaxed Li2TlAg2 crystal, computed with PBE-GGA.

a = 6.6777 Å, b = 6.6777 Å, c = 6.6777 Å
α = 145.48°, β = 145.48°, γ = 49.63°
Last column: nearest neighbours and their distance in Å.
Positions (direct):
Li (0.1052, 0.1052, 0.0000)  1 Li 2.55, 4 Ag 2.65
Li (0.8948, 0.8948, 0.0000)  1 Li 2.55, 4 Ag 2.65
Tl (0.5000, 0.5000, 0.0000)  8 Li 3.08
Ag (0.2500, 0.7500, 0.5000)  4 Li 2.65, 4 Ag 2.80
Ag (0.7500, 0.2500, 0.5000)  4 Li 2.65, 4 Ag 2.80

Computed properties:
Space group = No. 139
E_tot = -0.179 Ry per atom
V = 95.2 Å³ per cell

(6)
A relaxed NaCu2Si2 crystal, computed with PBE-GGA.

a = 5.9379 Å, b = 5.9379 Å, c = 5.9379 Å
α = 141.48°, β = 141.48°, γ = 55.62°
Last column: nearest neighbours and their distance in Å.
Positions (direct):
Na (0.0000, 0.0000, 0.0000)  8 Cu 3.05, 8 Si 3.28
Cu (0.3794, 0.3794, 0.0000)  4 Si 2.38, 1 Cu 2.53
Cu (0.6206, 0.6206, 0.0000)  4 Si 2.38, 1 Cu 2.53
Si (0.2500, 0.7500, 0.5000)  4 Cu 2.38
Si (0.7500, 0.2500, 0.5000)  4 Cu 2.38

Computed properties:
Space group = No. 139
E_tot = -0.281 Ry per atom
V = 80.6 Å³ per cell

(7)
A relaxed BaCoCuTe crystal, computed with PBE-GGA.

a = 5.0108 Å, b = 5.0108 Å, c = 5.0108 Å
α = 60.00°, β = 60.00°, γ = 60.00°
Last column: nearest neighbours and their distance in Å.
Positions (direct):
Ba (0.0000, 0.0000, 0.0000)  4 Co 3.07, 4 Cu 3.07
Co (0.7500, 0.7500, 0.7500)  4 Ba 3.07, 4 Te 3.07
Cu (0.2500, 0.2500, 0.2500)  4 Ba 3.07, 4 Te 3.07
Te (0.5000, 0.5000, 0.5000)  4 Co 3.07, 4 Cu 3.07

Computed properties:
Space group = No. 216
E_tot = -0.273 Ry per atom
Magnetization = 1.3 μB/cell
V = 89.0 Å³ per cell

(8)
A relaxed Ba2Pd2O5 crystal, computed with PBE-GGA.

a = 4.0564 Å, b = 4.0564 Å, c = 8.3861 Å
α = 90.00°, β = 90.00°, γ = 90.00°
Last column: nearest neighbours and their distance in Å.
Positions (direct):
Ba (0.0000, 0.0000, 0.0000)  12 O 2.87-3.12
Ba (0.0000, 0.0000, 0.5000)  8 O 2.73
Pd (0.5000, 0.5000, 0.2486)  5 O 2.05-2.08
Pd (0.5000, 0.5000, 0.7514)  5 O 2.05-2.08
O (0.0000, 0.5000, 0.2828)  2 Pd 2.05
O (0.0000, 0.5000, 0.7172)  2 Pd 2.05
O (0.5000, 0.0000, 0.2828)  2 Pd 2.05
O (0.5000, 0.0000, 0.7172)  2 Pd 2.05
O (0.5000, 0.5000, 0.0000)  2 Pd 2.08

Computed properties:
Space group = No. 123
E_tot = -0.420 Ry per atom
V = 138.0 Å³ per cell

(9)
A relaxed Tm5GeTe5 crystal, computed with PBE-GGA.

a = 7.4059 Å, b = 7.4059 Å, c = 8.5101 Å
α = 107.03°, β = 107.03°, γ = 48.08°
Last column: nearest neighbours and their distance in Å.
Positions (direct):
Tm (0.0000, 0.0000, 0.0000)  2 Ge 3.02, 4 Te 3.04-3.06
Tm (0.3439, 0.3439, 0.1589)  1 Ge 2.85, 5 Te 2.99-3.15
Tm (0.3449, 0.3449, 0.6838)  1 Ge 2.83, 5 Te 2.99-3.13
Tm (0.6551, 0.6551, 0.3162)  1 Ge 2.83, 5 Te 2.99-3.13
Tm (0.6561, 0.6561, 0.8411)  1 Ge 2.85, 5 Te 2.99-3.15
Ge (0.5000, 0.5000, 0.0000)  6 Tm 2.83-3.02
Te (0.1644, 0.1644, 0.8255)  5 Tm 3.02-3.09
Te (0.1723, 0.1723, 0.3363)  5 Tm 3.03-3.15
Te (0.5000, 0.5000, 0.5000)  4 Tm 2.99
Te (0.8277, 0.8277, 0.6637)  5 Tm 3.03-3.15
Te (0.8356, 0.8356, 0.1745)  5 Tm 3.02-3.09

Computed properties:
Space group = No. 12
E_tot = -0.379 Ry per atom
Magnetization = 0.0 μB/cell
V = 329.0 Å³ per cell

(10)
A relaxed KTbFeS3 crystal, computed with PBE-GGA.

a = 7.3716 Å, b = 7.3716 Å, c = 10.4885 Å
α = 90.00°, β = 90.00°, γ = 148.60°
Last column: nearest neighbours and their distance in Å.
Positions (direct):
K (0.2451, 0.7549, 0.7500)  6 S 3.27-3.32
K (0.7549, 0.2451, 0.2500)  6 S 3.27-3.32
Tb (0.5000, 0.5000, 0.0000)  6 S 2.75-2.77
Tb (0.5000, 0.5000, 0.5000)  6 S 2.75-2.77
Fe (0.0289, 0.9711, 0.2500)  4 S 2.28-2.38
Fe (0.9711, 0.0289, 0.7500)  4 S 2.28-2.38
S (0.1219, 0.8781, 0.0723)  1 Fe 2.28
S (0.1219, 0.8781, 0.4277)  1 Fe 2.28
S (0.4370, 0.5630, 0.2500)  2 Fe 2.38
S (0.5630, 0.4370, 0.7500)  2 Fe 2.38
S (0.8781, 0.1219, 0.5723)  1 Fe 2.28
S (0.8781, 0.1219, 0.9277)  1 Fe 2.28

Computed properties:
Space group = No. 63
E_tot = -0.421 Ry per atom
Magnetization = 8.0 μB/cell
V = 297.0 Å³ per cell

(11)
A relaxed Sn8TeIr2 crystal, computed with PBE-GGA.

a = 10.5381 Å, b = 10.5381 Å, c = 10.0874 Å
α = 90.00°, β = 90.00°, γ = 90.00°
Last column: nearest neighbours and their distance in Å.
Positions (direct):
Sn (0.0000, 0.0000, 0.1607)  9 Sn 3.13-3.31
Sn (0.0000, 0.0000, 0.8393)  9 Sn 3.13-3.31
Sn (0.0248, 0.2827, 0.3013)  2 Ir 2.68-2.76
Sn (0.0248, 0.2827, 0.6987)  2 Ir 2.68-2.76
Sn (0.1026, 0.8974, 0.5000)  6 Sn 3.06-3.20, 2 Ir 3.08
Sn (0.1797, 0.8203, 0.0000)  2 Ir 2.69
Sn (0.1830, 0.1830, 0.0000)  2 Ir 2.80
Sn (0.2173, 0.5248, 0.1987)  2 Ir 2.68-2.76
Sn (0.2173, 0.5248, 0.8013)  2 Ir 2.68-2.76
Sn (0.2827, 0.0248, 0.3013)  2 Ir 2.68-2.76
Sn (0.2827, 0.0248, 0.6987)  2 Ir 2.68-2.76
Sn (0.3170, 0.6830, 0.5000)  2 Ir 2.80
Sn (0.3203, 0.3203, 0.5000)  2 Ir 2.69
Sn (0.3974, 0.3974, 0.0000)  6 Sn 3.06-3.20, 2 Ir 3.08
Sn (0.4752, 0.7827, 0.1987)  2 Ir 2.68-2.76
Sn (0.4752, 0.7827, 0.8013)  2 Ir 2.68-2.76
Sn (0.5000, 0.5000, 0.3393)  9 Sn 3.13-3.31
Sn (0.5000, 0.5000, 0.6607)  9 Sn 3.13-3.31
Sn (0.5248, 0.2173, 0.1987)  2 Ir 2.68-2.76
Sn (0.5248, 0.2173, 0.8013)  2 Ir 2.68-2.76
Sn (0.6026, 0.6026, 0.0000)  6 Sn 3.06-3.20, 2 Ir 3.08
Sn (0.6797, 0.6797, 0.5000)  2 Ir 2.69
Sn (0.6830, 0.3170, 0.5000)  2 Ir 2.80
Sn (0.7173, 0.9752, 0.3013)  2 Ir 2.68-2.76
Sn (0.7173, 0.9752, 0.6987)  2 Ir 2.68-2.76
Sn (0.7827, 0.4752, 0.1987)  2 Ir 2.68-2.76
Sn (0.7827, 0.4752, 0.8013)  2 Ir 2.68-2.76
Sn (0.8170, 0.8170, 0.0000)  2 Ir 2.80
Sn (0.8203, 0.1797, 0.0000)  2 Ir 2.69
Sn (0.8974, 0.1026, 0.5000)  6 Sn 3.06-3.20, 2 Ir 3.08
Sn (0.9752, 0.7173, 0.3013)  2 Ir 2.68-2.76
Sn (0.9752, 0.7173, 0.6987)  2 Ir 2.68-2.76
Te (0.0000, 0.5000, 0.0000)  4 Sn 3.05
Te (0.0000, 0.5000, 0.5000)  4 Sn 3.05
Te (0.5000, 0.0000, 0.0000)  4 Sn 3.05
Te (0.5000, 0.0000, 0.5000)  4 Sn 3.05
Ir (0.2271, 0.7729, 0.2568)  6 Sn 2.68-2.80
Ir (0.2271, 0.7729, 0.7432)  6 Sn 2.68-2.80
Ir (0.2729, 0.2729, 0.2432)  6 Sn 2.68-2.80
Ir (0.2729, 0.2729, 0.7568)  6 Sn 2.68-2.80
Ir (0.7271, 0.7271, 0.2432)  6 Sn 2.68-2.80
Ir (0.7271, 0.7271, 0.7568)  6 Sn 2.68-2.80
Ir (0.7729, 0.2271, 0.2568)  6 Sn 2.68-2.80
Ir (0.7729, 0.2271, 0.7432)  6 Sn 2.68-2.80

Computed properties:
Space group = No. 136
E_tot = -0.355 Ry per atom
Magnetization = 0.0 μB/cell
V = 1120.2 Å³ per cell